Record 1
PmPr2Nd2Er2, relaxed, DFT PBE; size of the total moment = 0.000 μB/f.u.; formation energy = 0.016 eV/atom; raw total energy = -4.694 eV per atom; space-group type = C2/m, No. 12; volume = 34.01 Å³ per atom
1.0
5.140 0.000 0.000
-2.570 5.724 0.282
0.000 -1.547 8.016
Pm Pr Nd Er
1 2 2 2
direct
0.000 0.000 0.000
0.142 0.284 0.428
0.858 0.716 0.572
0.714 0.428 0.142
0.286 0.572 0.858
0.572 0.143 0.713
0.428 0.857 0.287

---

Record 2
PmPr2Nd2Er, relaxed, DFT PBE; size of the total moment = 0.000 μB/f.u.; formation energy = 0.055 eV/atom; raw total energy = -4.679 eV per atom; space-group type = Pmma, No. 51; volume = 34.36 Å³ per atom
1.0
5.784 0.000 0.000
0.000 7.135 0.000
0.000 0.000 9.992
Pm Pr Nd Er
2 4 4 2
direct
0.500 0.258 0.660
0.500 0.758 0.340
0.500 0.008 0.000
0.000 0.258 0.174
0.500 0.508 0.000
0.000 0.758 0.826
0.000 0.258 0.834
0.500 0.258 0.333
0.000 0.758 0.166
0.500 0.758 0.667
0.000 0.008 0.500
0.000 0.508 0.500